Here is a relaxed structure of ZrMnN2 from Alexandria. Energies are from PBE-GGA.

raw total energy: -9.36 eV/atom
SG: I-42d (122)
ΔE_f (raw): -0.766 eV/atom

a b c (Å): 4.7214 4.7214 5.8715
angles (deg): 66.29 66.29 90.00
Site moments in Bohr magnetons follow the coordinates.
Element x y z (fractional)
Mn: 0.2500 0.7500 0.5000  3.29
Mn: 0.5000 0.5000 0.0000  3.28
N: 0.1443 0.6250 0.2500  0.01
N: 0.8750 0.8557 0.7500  0.02
N: 0.3750 0.3943 0.7500  0.01
N: 0.6057 0.1250 0.2500  0.00
Zr: 0.0000 0.0000 0.0000  0.13
Zr: 0.7500 0.2500 0.5000  0.13


Here is a relaxed structure of Cd2HgAu from Alexandria. Energies are from PBE-GGA.

raw total energy: -1.33 eV/atom
excess energy over the best structure of this formula in the dataset: 100 meV per atom
SG: P4mm (99)

a b c (Å): 3.1499 3.1499 8.6894
angles (deg): 90.00 90.00 90.06
Element x y z (fractional)
Cd: 0.5000 0.5000 0.2438
Cd: 0.0000 0.0000 0.9822
Hg: 0.0000 0.0000 0.5127
Au: 0.5000 0.5000 0.7613


Here is a relaxed structure of SrLiIBr2 from Alexandria. Energies are from PBE-GGA.

raw total energy: -2.22 eV/atom
excess energy over the best structure of this formula in the dataset: 1220 meV per atom
SG: P4/mmm (123)
ΔE_f (raw): -0.523 eV/atom

a b c (Å): 7.4999 5.7622 7.4999
angles (deg): 90.00 90.00 90.00
Element x y z (fractional)
I: 0.0000 0.0000 0.0000
Li: 0.5000 0.5000 0.5000
Br: 0.0000 0.0000 0.5000
Br: 0.5000 0.0000 0.0000
Sr: 0.0000 0.5000 0.0000


Here is a relaxed structure of TlCd4P from Alexandria. Energies are from PBE-GGA.

raw total energy: -1.60 eV/atom
SG: F-43m (216)

a b c (Å): 5.8777 5.8777 5.8777
angles (deg): 60.00 60.00 60.00
Element x y z (fractional)
Tl: 0.0000 0.0000 0.0000
Cd: 0.3755 0.8736 0.3755
Cd: 0.8736 0.3755 0.3755
Cd: 0.3755 0.3755 0.3755
Cd: 0.3755 0.3755 0.8736
P: 0.7500 0.7500 0.7500


Here is a relaxed structure of TbY2Ni6 from Alexandria. Energies are from PBE-GGA.

raw total energy: -6.19 eV/atom
excess energy over the best structure of this formula in the dataset: 0 meV per atom
SG: P6/mmm (191)

a b c (Å): 3.7387 6.9458 6.9458
angles (deg): 120.00 90.00 90.00
Site moments in Bohr magnetons follow the coordinates.
Element x y z (fractional)
Tb: 0.0000 0.0000 0.0000  -0.01
Ni: 0.5000 0.3332 0.0000  0.17
Ni: 0.5000 0.6668 0.6668  0.17
Ni: 0.5000 0.6668 0.0000  0.17
Ni: 0.5000 0.0000 0.3332  0.17
Ni: 0.5000 0.0000 0.6668  0.17
Ni: 0.5000 0.3332 0.3332  0.17
Y: 0.0000 0.3333 0.6667  -0.01
Y: 0.0000 0.6667 0.3333  -0.01


Here is a relaxed structure of BeSiF from Alexandria. Energies are from PBE-GGA.

raw total energy: -4.94 eV/atom
excess energy over the best structure of this formula in the dataset: 47 meV per atom
SG: Cm (8)
ΔE_f (raw): -1.268 eV/atom

a b c (Å): 5.0554 2.5374 13.1211
angles (deg): 90.00 105.39 90.00
Element x y z (fractional)
F: 0.5358 0.0000 0.7163
F: 0.9186 0.0000 0.1717
F: 0.9186 0.5000 0.6717
F: 0.5358 0.5000 0.2163
Be: 0.7144 0.5000 0.7485
Be: 0.8314 0.0000 0.0506
Be: 0.7144 0.0000 0.2485
Be: 0.8314 0.5000 0.5506
Si: 0.4812 0.5000 0.9398
Si: 0.9918 0.0000 0.4257
Si: 0.9918 0.5000 0.9257
Si: 0.4812 0.0000 0.4398


Here is a relaxed structure of UBiSe from Alexandria. Energies are from PBE-GGA.

raw total energy: -6.71 eV/atom
SG: I4mm (107)
ΔE_f (raw): -0.493 eV/atom

a b c (Å): 3.4797 3.4797 7.4713
angles (deg): 103.47 103.47 90.00
Site moments in Bohr magnetons follow the coordinates.
Element x y z (fractional)
Bi: 0.0149 0.0149 0.0298  -0.09
U: 0.6902 0.6902 0.3804  2.33
Se: 0.2949 0.2949 0.5898  -0.09


Here is a relaxed structure of NaPH from Alexandria. Energies are from PBE-GGA.

raw total energy: -3.59 eV/atom
excess energy over the best structure of this formula in the dataset: 0 meV per atom
SG: P-1 (2)

a b c (Å): 5.7800 4.9984 5.6915
angles (deg): 133.35 64.48 107.30
Element x y z (fractional)
H: 0.6289 0.7029 0.1888
H: 0.1894 0.4011 0.0996
Na: 0.1348 0.2331 0.4840
Na: 0.6835 0.8709 0.8051
P: 0.5951 0.0877 0.4849
P: 0.2233 0.0161 0.8040